Entry 1:
DFT (PBE) results for a geometry-optimized ZrCd2As2 structure.

Summary:
**ΔE_f**: -0.20 eV/atom
**DOS at the Fermi energy**: 2.16 states/eV/f.u.
**E**: -20.70 eV per formula unit

```
data_ZrCd2As2
_symmetry_space_group_name_H-M 'P 4/m b m'
_symmetry_Int_Tables_number 127
_symmetry_space_group_name_Hall '-P 4 2ab'
_cell_length_a 7.289
_cell_length_b 7.289
_cell_length_c 4.052
_cell_angle_alpha 90.00
_cell_angle_beta 90.00
_cell_angle_gamma 90.00
loop_
_atom_site_label
_atom_site_fract_x
_atom_site_fract_y
_atom_site_fract_z
Zr1 0.000 0.000 0.000
Cd1 0.154 0.346 0.500
As1 0.159 0.659 0.000
```


Entry 2:
DFT (PBE) results for a geometry-optimized Zr2CdAs structure.

Summary:
**ΔE_f**: -0.33 eV/atom
**DOS at the Fermi energy**: 3.93 states/eV/f.u.
**ΔE to the lowest computed polymorph**: 197.0 meV/atom
**E**: -24.00 eV per formula unit

```
data_Zr2CdAs
_symmetry_space_group_name_H-M 'P 4 m m'
_symmetry_Int_Tables_number 99
_cell_length_a 3.814
_cell_length_b 3.814
_cell_length_c 5.871
_cell_angle_alpha 90.00
_cell_angle_beta 90.00
_cell_angle_gamma 90.00
loop_
_symmetry_equiv_pos_as_xyz
'x,y,z'
'-y,x,z'
'-x,-y,z'
'y,-x,z'
'-x,y,z'
'y,x,z'
'x,-y,z'
'-y,-x,z'
loop_
_atom_site_label
_atom_site_fract_x
_atom_site_fract_y
_atom_site_fract_z
Zr1 0.000 0.000 0.000
Zr2 0.500 0.500 0.286
Cd1 0.500 0.500 0.780
As1 0.000 0.000 0.478
```


Entry 3:
DFT (PBE) results for a geometry-optimized ZrCdAs2 structure.

Summary:
**ΔE_f**: 0.11 eV/atom
**DOS at the Fermi energy**: 2.80 states/eV/f.u.
**E**: -18.31 eV per formula unit

```
data_ZrCdAs2
_symmetry_space_group_name_H-M 'F -4 3 m'
_symmetry_Int_Tables_number 216
_symmetry_space_group_name_Hall 'F -4 2 3'
_cell_length_a 6.907
_cell_length_b 6.907
_cell_length_c 6.907
_cell_angle_alpha 90.00
_cell_angle_beta 90.00
_cell_angle_gamma 90.00
loop_
_atom_site_label
_atom_site_fract_x
_atom_site_fract_y
_atom_site_fract_z
Zr1 0.000 0.000 0.000
Cd1 0.250 0.250 0.750
As1 0.000 0.000 0.500
As2 0.250 0.250 0.250
```


Entry 4:
DFT (PBE) results for a geometry-optimized ZrCdAs2 structure.

Summary:
**ΔE_f**: -0.47 eV/atom
**DOS at the Fermi energy**: 1.29 states/eV/f.u.
**E**: -20.63 eV per formula unit

```
data_ZrCdAs2
_symmetry_space_group_name_H-M 'P 1 m 1'
_symmetry_Int_Tables_number 6
_cell_length_a 3.872
_cell_length_b 3.870
_cell_length_c 5.708
_cell_angle_alpha 90.00
_cell_angle_beta 90.17
_cell_angle_gamma 90.00
loop_
_symmetry_equiv_pos_as_xyz
'x,y,z'
'x,-y,z'
loop_
_atom_site_label
_atom_site_fract_x
_atom_site_fract_y
_atom_site_fract_z
Zr1 0.000 0.000 0.000
Cd1 0.498 0.500 0.360
As1 0.499 0.500 0.882
As2 0.998 0.000 0.471
```


Entry 5:
DFT (PBE) results for a geometry-optimized ZrCdAs2 structure.

Summary:
**ΔE_f**: -0.22 eV/atom
**DOS at the Fermi energy**: 2.59 states/eV/f.u.
**E**: -19.63 eV per formula unit

```
data_ZrCdAs2
_symmetry_space_group_name_H-M 'I 4/m m m'
_symmetry_Int_Tables_number 139
_symmetry_space_group_name_Hall '-I 4 2'
_cell_length_a 4.393
_cell_length_b 4.393
_cell_length_c 8.280
_cell_angle_alpha 90.00
_cell_angle_beta 90.00
_cell_angle_gamma 90.00
loop_
_atom_site_label
_atom_site_fract_x
_atom_site_fract_y
_atom_site_fract_z
Zr1 0.000 0.000 0.000
Cd1 0.000 0.000 0.500
As1 0.000 0.500 0.250
```


Entry 6:
DFT (PBE) results for a geometry-optimized Zr2CdAs structure.

Summary:
**ΔE_f**: 0.21 eV/atom
**DOS at the Fermi energy**: 4.35 states/eV/f.u.
**ΔE to the lowest computed polymorph**: 745.5 meV/atom
**E**: -21.80 eV per formula unit

```
data_Zr2CdAs
_symmetry_space_group_name_H-M 'F -4 3 m'
_symmetry_Int_Tables_number 216
_symmetry_space_group_name_Hall 'F -4 2 3'
_cell_length_a 7.003
_cell_length_b 7.003
_cell_length_c 7.003
_cell_angle_alpha 90.00
_cell_angle_beta 90.00
_cell_angle_gamma 90.00
loop_
_atom_site_label
_atom_site_fract_x
_atom_site_fract_y
_atom_site_fract_z
Zr1 0.000 0.000 0.000
Zr2 0.250 0.250 0.250
Cd1 0.000 0.000 0.500
As1 0.250 0.250 0.750
```


Entry 7:
DFT (PBE) results for a geometry-optimized Zr2CdAs2 structure.

Summary:
**ΔE_f**: -0.67 eV/atom
**DOS at the Fermi energy**: 3.05 states/eV/f.u.
**E**: -30.67 eV per formula unit

```
data_Zr2CdAs2
_symmetry_space_group_name_H-M 'P 4/m b m'
_symmetry_Int_Tables_number 127
_symmetry_space_group_name_Hall '-P 4 2ab'
_cell_length_a 7.572
_cell_length_b 7.572
_cell_length_c 3.522
_cell_angle_alpha 90.00
_cell_angle_beta 90.00
_cell_angle_gamma 90.00
loop_
_atom_site_label
_atom_site_fract_x
_atom_site_fract_y
_atom_site_fract_z
Zr1 0.144 0.356 0.000
Cd1 0.000 0.000 0.500
As1 0.147 0.647 0.500
```


Entry 8:
DFT (PBE) results for a geometry-optimized Zr2CdAs structure.

Summary:
**ΔE_f**: -0.36 eV/atom
**DOS at the Fermi energy**: 2.93 states/eV/f.u.
**ΔE to the lowest computed polymorph**: 168.0 meV/atom
**E**: -24.11 eV per formula unit

```
data_Zr2CdAs
_symmetry_space_group_name_H-M 'C m m m'
_symmetry_Int_Tables_number 65
_symmetry_space_group_name_Hall '-C 2 2'
_cell_length_a 6.203
_cell_length_b 7.746
_cell_length_c 3.391
_cell_angle_alpha 90.00
_cell_angle_beta 90.00
_cell_angle_gamma 90.00
loop_
_atom_site_label
_atom_site_fract_x
_atom_site_fract_y
_atom_site_fract_z
Zr1 0.250 0.250 0.000
Cd1 0.000 0.000 0.500
As1 0.000 0.500 0.500
```


Entry 9:
DFT (PBE) results for a geometry-optimized Zr2CdAs structure.

Summary:
**ΔE_f**: -0.45 eV/atom
**DOS at the Fermi energy**: 1.98 states/eV/f.u.
**ΔE to the lowest computed polymorph**: 82.6 meV/atom
**E**: -24.45 eV per formula unit

```
data_Zr2CdAs
_symmetry_space_group_name_H-M 'C m m m'
_symmetry_Int_Tables_number 65
_symmetry_space_group_name_Hall '-C 2 2'
_cell_length_a 4.053
_cell_length_b 4.992
_cell_length_c 8.245
_cell_angle_alpha 90.00
_cell_angle_beta 90.00
_cell_angle_gamma 90.00
loop_
_atom_site_label
_atom_site_fract_x
_atom_site_fract_y
_atom_site_fract_z
Zr1 0.000 0.000 0.219
Cd1 0.000 0.500 0.500
As1 0.000 0.500 0.000
```


Entry 10:
DFT (PBE) results for a geometry-optimized Zr2CdAs structure.

Summary:
**ΔE_f**: -0.16 eV/atom
**DOS at the Fermi energy**: 2.99 states/eV/f.u.
**ΔE to the lowest computed polymorph**: 374.4 meV/atom
**E**: -23.29 eV per formula unit

```
data_Zr2CdAs
_symmetry_space_group_name_H-M 'P 4 m m'
_symmetry_Int_Tables_number 99
_cell_length_a 3.173
_cell_length_b 3.173
_cell_length_c 8.732
_cell_angle_alpha 90.00
_cell_angle_beta 90.00
_cell_angle_gamma 90.00
loop_
_symmetry_equiv_pos_as_xyz
'x,y,z'
'-y,x,z'
'-x,-y,z'
'y,-x,z'
'-x,y,z'
'y,x,z'
'x,-y,z'
'-y,-x,z'
loop_
_atom_site_label
_atom_site_fract_x
_atom_site_fract_y
_atom_site_fract_z
Zr1 0.000 0.000 0.000
Zr2 0.500 0.500 0.260
Cd1 0.500 0.500 0.735
As1 0.000 0.000 0.478
```


Entry 11:
DFT (PBE) results for a geometry-optimized Zr2CdAs structure.

Summary:
**ΔE_f**: -0.11 eV/atom
**DOS at the Fermi energy**: 1.47 states/eV/f.u.
**ΔE to the lowest computed polymorph**: 424.2 meV/atom
**E**: -23.09 eV per formula unit

```
data_Zr2CdAs
_symmetry_space_group_name_H-M 'R 3 m'
_symmetry_Int_Tables_number 160
_symmetry_space_group_name_Hall 'R 3 -2"'
_cell_length_a 3.2708
_cell_length_b 3.2708
_cell_length_c 28.9015
_cell_angle_alpha 90.00
_cell_angle_beta 90.00
_cell_angle_gamma 120.00
loop_
_atom_site_label
_atom_site_fract_x
_atom_site_fract_y
_atom_site_fract_z
Zr1 0.0000 0.0000 0.0000
Zr2 0.0000 0.0000 0.2471
Cd1 0.0000 0.0000 0.7560
As1 0.0000 0.0000 0.5064
```


Entry 12:
DFT (PBE) results for a geometry-optimized ZrCd3As structure.

Summary:
**ΔE_f**: 0.73 eV/atom
**DOS at the Fermi energy**: 4.68 states/eV/f.u.
**ΔE to the lowest computed polymorph**: 0.0 meV/atom
**E**: -12.31 eV per formula unit

```
data_ZrCd3As
_symmetry_space_group_name_H-M 'P m -3 m'
_symmetry_Int_Tables_number 221
_symmetry_space_group_name_Hall '-P 4 2 3'
_cell_length_a 5.121
_cell_length_b 5.121
_cell_length_c 5.121
_cell_angle_alpha 90.00
_cell_angle_beta 90.00
_cell_angle_gamma 90.00
loop_
_atom_site_label
_atom_site_fract_x
_atom_site_fract_y
_atom_site_fract_z
Zr1 0.000 0.000 0.000
Cd1 0.000 0.500 0.500
As1 0.500 0.500 0.500
```